The following is a PBE-GGA calculation of an optimized crystal structure of AlZn2Cl, from Alexandria via LeMat-Bulk.

extended XYZ file:
```
4
Lattice="5.672 0.000 0.000 0.000 3.860 0.000 0.000 0.000 3.860" Properties=species:S:1:pos:R:3 pbc="T T T"
Zn 0.000 0.000 0.000
Zn 0.000 1.930 1.930
Al 2.836 1.930 0.000
Cl 2.836 0.000 1.930
```

ΔE to the lowest computed polymorph = 230 meV/atom
SG = P4/mmm (123)
ρ = 3.80 g/cm3
Formation energy (no corrections) = 0.085 eV/atom


The following is a PBE-GGA calculation of an optimized crystal structure of CaPr3Pb3, from Alexandria via LeMat-Bulk.

extended XYZ file:
```
14
Lattice="8.122 0.321 0.473 -3.331 7.415 0.473 -0.252 -0.407 8.106" Properties=species:S:1:pos:R:3 pbc="T T T"
Ca 3.177 5.129 8.083
Ca 1.362 2.200 0.969
Pr 2.925 4.723 3.562
Pr -1.703 6.125 4.526
Pr 6.242 1.204 4.526
Pr -0.793 5.843 0.473
Pr 5.584 1.893 0.473
Pr 1.614 2.605 5.490
Pb 4.468 7.214 2.459
Pb 5.017 3.661 6.151
Pb 1.042 6.123 6.151
Pb -0.478 3.668 2.901
Pb 3.497 1.206 2.901
Pb 0.071 0.115 6.593
```

SG = C2/m (12)
ρ = 7.20 g/cm3
DFT formation energy = -7.250 kcal/mol of atoms


The following is a PBE-GGA calculation of an optimized crystal structure of Ac2Ni12P7, from Alexandria via LeMat-Bulk.

extended XYZ file:
```
21
Lattice="-1.089 -2.494 -2.725 1.526 -7.007 5.804 -8.312 3.989 -0.330" Properties=species:S:1:pos:R:3 pbc="T T T"
Ac -0.544 -1.247 -1.362
Ac -1.753 -3.341 3.759
Ni -4.298 -5.169 3.728
Ni -0.195 -5.850 2.711
Ni -2.399 -2.746 0.751
Ni -6.625 0.150 -0.211
Ni -6.027 -1.964 1.485
Ni -4.079 -0.956 -0.217
Ni -4.407 1.707 0.198
Ni -7.043 0.387 2.460
Ni -3.647 -1.122 2.485
Ni -4.864 -2.453 4.190
Ni -0.500 -5.797 5.507
Ni 0.105 -1.774 1.581
P -5.032 0.324 1.715
P -6.300 2.814 -0.058
P -6.918 -1.264 3.921
P -1.879 -0.578 1.280
P -4.359 -3.374 2.109
P -2.172 -6.388 3.994
P -0.361 -4.003 1.087
```

SG = P-6 (174)
ρ = 8.04 g/cm3
DFT formation energy = -15.051 kcal/mol of atoms


The following is a PBE-GGA calculation of an optimized crystal structure of BaOsS2, from Alexandria via LeMat-Bulk.

extended XYZ file:
```
4
Lattice="3.363 0.000 3.549 -1.682 2.913 3.549 -1.682 -2.913 3.549" Properties=species:S:1:pos:R:3 pbc="T T T"
S 0.000 0.000 8.497
S 0.000 0.000 2.150
Os 0.000 0.000 0.000
Ba 0.000 0.000 5.323
```

ΔE to the lowest computed polymorph = 0 meV/atom
SG = R-3m (166)
ρ = 6.24 g/cm3
Formation energy (no corrections) = -0.254 eV/atom


The following is a PBE-GGA calculation of an optimized crystal structure of Hf4Sb3N, from Alexandria via LeMat-Bulk.

extended XYZ file:
```
16
Lattice="-0.660 3.961 3.679 -4.520 -3.323 2.767 7.120 -4.546 6.172" Properties=species:S:1:pos:R:3 pbc="T T T"
Hf -3.764 -2.333 2.624
Hf -1.049 1.964 2.656
Hf 0.764 -1.272 1.945
Hf -2.125 -1.913 6.147
Hf -0.393 -4.668 5.883
Hf 2.345 -0.509 5.787
Hf 0.897 -3.842 8.766
Hf 4.862 -3.889 5.498
Sb -3.373 0.148 4.000
Sb -1.274 -3.204 3.646
Sb -0.086 0.006 4.434
Sb 1.962 -3.042 4.362
Sb 3.557 -2.320 7.592
Sb 2.204 -5.424 6.661
N -1.312 3.468 4.068
N -0.634 -3.147 7.281
```

SG = Pmn2_1 (31)
ρ = 10.19 g/cm3
Formation energy (no corrections) = -0.536 eV/atom


The following is a PBE-GGA calculation of an optimized crystal structure of ZrRuS2Cl, from Alexandria via LeMat-Bulk.

extended XYZ file:
```
5
Lattice="4.619 0.000 0.000 0.000 4.619 0.000 0.000 0.000 4.559" Properties=species:S:1:pos:R:3 pbc="T T T"
Ru 0.000 0.000 0.000
S 0.000 2.309 0.000
S 2.309 0.000 0.000
Zr 2.309 2.309 2.279
Cl 0.000 0.000 2.279
```

ΔE to the lowest computed polymorph = 27 meV/atom
SG = P4/mmm (123)
ρ = 4.98 g/cm3
Formation energy (no corrections) = 0.058 eV/atom


The following is a PBE-GGA calculation of an optimized crystal structure of NaReOsO6, from Alexandria via LeMat-Bulk.

extended XYZ file:
```
9
Lattice="5.057 0.000 0.000 0.000 5.318 0.000 0.000 -2.659 4.605" Properties=species:S:1:pos:R:3 pbc="T T T"
Na 0.000 0.000 3.070
Re 2.529 2.659 1.535
Os 2.529 0.000 0.000
O 3.560 2.024 3.038
O 3.560 1.674 0.234
O 3.560 4.278 1.333
O 1.498 1.040 1.333
O 1.498 3.643 0.234
O 1.498 3.293 3.038
```

SG = P312 (149)
ρ = 6.64 g/cm3
Formation energy (no corrections) = -1.320 eV/atom